VASP calculation (PBE) on a relaxed structure of HfTaN3.

Geometry as CIF:
```
data_HfTaN3
_chemical_formula_sum 'Hf4 Ta4 N12'
_space_group_name_H-M_alt 'P 1'
_space_group_IT_number 1
_cell_length_a 5.7451
_cell_length_b 3.0867
_cell_length_c 12.0478
_cell_angle_alpha 90.00
_cell_angle_beta 90.00
_cell_angle_gamma 90.00
loop_
_space_group_symop_operation_xyz
'x,y,z'
loop_
_atom_site_label
_atom_site_fract_x
_atom_site_fract_y
_atom_site_fract_z
_atom_site_occupancy
Hf1 0.1543 0.2500 0.2040 1
Hf2 0.3457 0.7500 0.7040 1
Hf3 0.6543 0.2500 0.2960 1
Hf4 0.8457 0.7500 0.7960 1
Ta1 0.2447 0.7500 0.4515 1
Ta2 0.2553 0.2500 0.9515 1
Ta3 0.7447 0.7500 0.0485 1
Ta4 0.7553 0.2500 0.5485 1
N1 0.0280 0.2500 0.3983 1
N2 0.1283 0.7500 0.0636 1
N3 0.1442 0.2500 0.7842 1
N4 0.3558 0.7500 0.2842 1
N5 0.3717 0.2500 0.5636 1
N6 0.4720 0.7500 0.8983 1
N7 0.5280 0.2500 0.1017 1
N8 0.6283 0.7500 0.4364 1
N9 0.6442 0.2500 0.7158 1
N10 0.8558 0.7500 0.2158 1
N11 0.8717 0.2500 0.9364 1
N12 0.9720 0.7500 0.6017 1
```

Computed properties:
- formation energy from raw total energies (eV per atom) = -1.28
- V (Å³ per cell) = 213.6



VASP calculation (PBE) on a relaxed structure of SiP2O2.

Geometry as CIF:
```
data_SiP2O2
_chemical_formula_sum 'Si1 P2 O2'
_space_group_name_H-M_alt 'P 1'
_space_group_IT_number 1
_cell_length_a 4.6039
_cell_length_b 4.6039
_cell_length_c 3.2427
_cell_angle_alpha 90.00
_cell_angle_beta 90.00
_cell_angle_gamma 90.00
loop_
_space_group_symop_operation_xyz
'x,y,z'
loop_
_atom_site_label
_atom_site_fract_x
_atom_site_fract_y
_atom_site_fract_z
_atom_site_occupancy
Si1 0.0000 0.0000 0.0000 1
P1 0.0000 0.5000 0.0000 1
P2 0.5000 0.0000 0.0000 1
O1 0.0000 0.0000 0.5000 1
O2 0.5000 0.5000 0.5000 1
```

Computed properties:
- energy above the lowest structure with this stoichiometry (eV/atom) = 1.0687
- formation energy from raw total energies (eV per atom) = 0.23
- V (Å³ per cell) = 68.7



VASP calculation (PBE) on a relaxed structure of AlZn2Tc.

Geometry as CIF:
```
data_AlZn2Tc
_chemical_formula_sum 'Al1 Zn2 Tc1'
_space_group_name_H-M_alt 'P 1'
_space_group_IT_number 1
_cell_length_a 3.4906
_cell_length_b 3.9227
_cell_length_c 4.1418
_cell_angle_alpha 90.00
_cell_angle_beta 90.00
_cell_angle_gamma 90.00
loop_
_space_group_symop_operation_xyz
'x,y,z'
loop_
_atom_site_label
_atom_site_fract_x
_atom_site_fract_y
_atom_site_fract_z
_atom_site_occupancy
Al1 0.0000 0.0000 0.0000 1
Zn1 0.0000 0.5000 0.5000 1
Zn2 0.5000 0.0000 0.5000 1
Tc1 0.5000 0.5000 0.0000 1
```

Computed properties:
- E_tot (eV per atom) = -4.298
- V (Å³ per cell) = 56.7



VASP calculation (PBE) on a relaxed structure of CeIn5Ir.

Geometry as CIF:
```
data_CeIn5Ir
_chemical_formula_sum 'Ce1 In5 Ir1'
_space_group_name_H-M_alt 'P 1'
_space_group_IT_number 1
_cell_length_a 4.7228
_cell_length_b 4.7228
_cell_length_c 7.5302
_cell_angle_alpha 90.00
_cell_angle_beta 90.00
_cell_angle_gamma 90.00
loop_
_space_group_symop_operation_xyz
'x,y,z'
loop_
_atom_site_label
_atom_site_fract_x
_atom_site_fract_y
_atom_site_fract_z
_atom_site_occupancy
Ce1 0.0000 0.0000 0.0000 1
In1 0.0000 0.5000 0.3018 1
In2 0.0000 0.5000 0.6982 1
In3 0.5000 0.0000 0.3018 1
In4 0.5000 0.0000 0.6982 1
In5 0.5000 0.5000 0.0000 1
Ir1 0.0000 0.0000 0.5000 1
```

Computed properties:
- E_tot (eV per atom) = -4.450
- V (Å³ per cell) = 168.0



VASP calculation (PBE) on a relaxed structure of TiV2B4.

Geometry as CIF:
```
data_TiV2B4
_chemical_formula_sum 'Ti2 V4 B8'
_space_group_name_H-M_alt 'P 1'
_space_group_IT_number 1
_cell_length_a 2.9975
_cell_length_b 3.1143
_cell_length_c 13.2877
_cell_angle_alpha 90.00
_cell_angle_beta 90.00
_cell_angle_gamma 90.00
loop_
_space_group_symop_operation_xyz
'x,y,z'
loop_
_atom_site_label
_atom_site_fract_x
_atom_site_fract_y
_atom_site_fract_z
_atom_site_occupancy
Ti1 0.0000 0.0000 0.0000 1
Ti2 0.5000 0.5000 0.5000 1
V1 0.0000 0.5000 0.3122 1
V2 0.0000 0.5000 0.6878 1
V3 0.5000 0.0000 0.1878 1
V4 0.5000 0.0000 0.8122 1
B1 0.0000 0.0000 0.4334 1
B2 0.0000 0.0000 0.5666 1
B3 0.0000 0.5000 0.1374 1
B4 0.0000 0.5000 0.8626 1
B5 0.5000 0.0000 0.3626 1
B6 0.5000 0.0000 0.6374 1
B7 0.5000 0.5000 0.0666 1
B8 0.5000 0.5000 0.9334 1
```

Computed properties:
- E_tot (eV per atom) = -8.470
- V (Å³ per cell) = 124.0



VASP calculation (PBE) on a relaxed structure of SrYH2.

Geometry as CIF:
```
data_SrYH2
_chemical_formula_sum 'Sr4 Y4 H8'
_space_group_name_H-M_alt 'P 1'
_space_group_IT_number 1
_cell_length_a 5.5339
_cell_length_b 5.5339
_cell_length_c 10.7578
_cell_angle_alpha 90.00
_cell_angle_beta 90.00
_cell_angle_gamma 90.00
loop_
_space_group_symop_operation_xyz
'x,y,z'
loop_
_atom_site_label
_atom_site_fract_x
_atom_site_fract_y
_atom_site_fract_z
_atom_site_occupancy
Sr1 0.0000 0.0000 0.0000 1
Sr2 0.0000 0.5000 0.2500 1
Sr3 0.5000 0.0000 0.7500 1
Sr4 0.5000 0.5000 0.5000 1
Y1 0.0000 0.0000 0.5000 1
Y2 0.0000 0.5000 0.7500 1
Y3 0.5000 0.0000 0.2500 1
Y4 0.5000 0.5000 0.0000 1
H1 0.1918 0.2500 0.6250 1
H2 0.2500 0.6918 0.8750 1
H3 0.2500 0.8082 0.3750 1
H4 0.3082 0.2500 0.1250 1
H5 0.6918 0.7500 0.1250 1
H6 0.7500 0.1918 0.3750 1
H7 0.7500 0.3082 0.8750 1
H8 0.8082 0.7500 0.6250 1
```

Computed properties:
- energy above the lowest structure with this stoichiometry (eV/atom) = 0.0000
- V (Å³ per cell) = 329.4



VASP calculation (PBE) on a relaxed structure of CrAg2Mo.

Geometry as CIF:
```
data_CrAg2Mo
_chemical_formula_sum 'Cr2 Ag4 Mo2'
_space_group_name_H-M_alt 'P 1'
_space_group_IT_number 1
_cell_length_a 3.0606
_cell_length_b 4.7771
_cell_length_c 8.9933
_cell_angle_alpha 90.00
_cell_angle_beta 90.00
_cell_angle_gamma 90.00
loop_
_space_group_symop_operation_xyz
'x,y,z'
loop_
_atom_site_label
_atom_site_fract_x
_atom_site_fract_y
_atom_site_fract_z
_atom_site_occupancy
Cr1 0.0000 0.0000 0.0000 1
Cr2 0.5000 0.5000 0.5000 1
Ag1 0.0000 0.0000 0.4680 1
Ag2 0.0000 0.5000 0.2424 1
Ag3 0.5000 0.0000 0.7424 1
Ag4 0.5000 0.5000 0.9680 1
Mo1 0.0000 0.5000 0.6876 1
Mo2 0.5000 0.0000 0.1876 1
```

Computed properties:
- energy above the lowest structure with this stoichiometry (eV/atom) = 0.2144
- V (Å³ per cell) = 131.5



VASP calculation (PBE) on a relaxed structure of SrFe2Re.

Geometry as CIF:
```
data_SrFe2Re
_chemical_formula_sum 'Sr2 Fe4 Re2'
_space_group_name_H-M_alt 'P 1'
_space_group_IT_number 1
_cell_length_a 7.1781
_cell_length_b 4.1472
_cell_length_c 6.1594
_cell_angle_alpha 90.00
_cell_angle_beta 112.93
_cell_angle_gamma 90.00
loop_
_space_group_symop_operation_xyz
'x,y,z'
loop_
_atom_site_label
_atom_site_fract_x
_atom_site_fract_y
_atom_site_fract_z
_atom_site_occupancy
Sr1 0.0000 0.0000 0.0000 1
Sr2 0.5000 0.5000 0.0000 1
Fe1 0.0146 0.5000 0.5449 1
Fe2 0.3092 0.5000 0.4293 1
Fe3 0.5146 0.0000 0.5449 1
Fe4 0.8092 0.0000 0.4293 1
Re1 0.1887 0.0000 0.5675 1
Re2 0.6887 0.5000 0.5675 1
```

Computed properties:
- energy above the lowest structure with this stoichiometry (eV/atom) = 0.0353
- V (Å³ per cell) = 168.9



VASP calculation (PBE) on a relaxed structure of Os3Ru4.

Geometry as CIF:
```
data_Os3Ru4
_chemical_formula_sum 'Os3 Ru4'
_space_group_name_H-M_alt 'P 1'
_space_group_IT_number 1
_cell_length_a 5.0261
_cell_length_b 5.0261
_cell_length_c 4.7683
_cell_angle_alpha 90.00
_cell_angle_beta 90.00
_cell_angle_gamma 120.00
loop_
_space_group_symop_operation_xyz
'x,y,z'
loop_
_atom_site_label
_atom_site_fract_x
_atom_site_fract_y
_atom_site_fract_z
_atom_site_occupancy
Os1 0.0000 0.5000 0.0000 1
Os2 0.5000 0.0000 0.0000 1
Os3 0.5000 0.5000 0.0000 1
Ru1 0.0000 0.0000 0.2580 1
Ru2 0.0000 0.0000 0.7420 1
Ru3 0.3333 0.6667 0.5000 1
Ru4 0.6667 0.3333 0.5000 1
```

Computed properties:
- energy above the lowest structure with this stoichiometry (eV/atom) = 0.0000
- V (Å³ per cell) = 104.3



VASP calculation (PBE) on a relaxed structure of TaTe3Br.

Geometry as CIF:
```
data_TaTe3Br
_chemical_formula_sum 'Ta1 Te3 Br1'
_space_group_name_H-M_alt 'P 1'
_space_group_IT_number 1
_cell_length_a 5.3905
_cell_length_b 5.3905
_cell_length_c 5.3905
_cell_angle_alpha 90.00
_cell_angle_beta 90.00
_cell_angle_gamma 90.00
loop_
_space_group_symop_operation_xyz
'x,y,z'
loop_
_atom_site_label
_atom_site_fract_x
_atom_site_fract_y
_atom_site_fract_z
_atom_site_occupancy
Ta1 0.0000 0.0000 0.0000 1
Te1 0.0000 0.0000 0.5000 1
Te2 0.0000 0.5000 0.0000 1
Te3 0.5000 0.0000 0.0000 1
Br1 0.5000 0.5000 0.5000 1
```

Computed properties:
- energy above the lowest structure with this stoichiometry (eV/atom) = 0.2392
- formation energy from raw total energies (eV per atom) = 0.11
- V (Å³ per cell) = 156.6